Record 1
Crystalline KSb2Ru at its relaxed geometry. Source: the Alexandria database, functional PBE-GGA.

Cell: 7.4018 7.4018 7.4018 Å, 117.66 117.66 94.10°
Element x y z (fractional)
K 0.0000 0.0000 0.0000
K 0.7500 0.2500 0.5000
Sb 0.2409 0.6250 0.1159
Sb 0.3750 0.4909 0.6159
Sb 0.5091 0.1250 0.8841
Sb 0.8750 0.7591 0.3841
Ru 0.2500 0.7500 0.5000
Ru 0.5000 0.5000 0.0000

Results
The value obtained for the energy above the lowest structure with this stoichiometry is 94.0 kJ/mol of formula units. The calculation puts the raw total energy at -4.563 eV per atom. The value obtained for the density is 4.3 g cm⁻³. The formation energy from raw total energies comes out at 0.09 eV per atom.

---

Record 2
Crystalline Sm5DyHg6 at its relaxed geometry. Source: the Alexandria database, functional PBE-GGA.

Cell: 8.4363 8.4363 7.6153 Å, 90.00 90.00 143.18°
Element x y z (fractional)
Sm 0.0000 0.0000 0.0000
Sm 0.3321 0.6679 0.0000
Sm 0.3334 0.6666 0.5000
Sm 0.6666 0.3334 0.5000
Sm 0.6679 0.3321 0.0000
Dy 0.0000 0.0000 0.5000
Hg 0.1642 0.8358 0.2531
Hg 0.1642 0.8358 0.7469
Hg 0.5000 0.5000 0.2555
Hg 0.5000 0.5000 0.7445
Hg 0.8358 0.1642 0.2531
Hg 0.8358 0.1642 0.7469

Results
The value obtained for the energy of formation is -472 meV/atom. The calculation puts the raw total energy at -2.973 eV per atom. The value obtained for the density is 10.8 g cm⁻³.

---

Record 3
Crystalline GdSnIr2 at its relaxed geometry. Source: the Alexandria database, functional PBE-GGA.

Cell: 4.4537 4.4537 3.8096 Å, 90.00 90.00 90.00°
Element x y z (fractional)
Gd 0.0000 0.0000 0.0000
Sn 0.5000 0.5000 0.0000
Ir 0.0000 0.5000 0.5000
Ir 0.5000 0.0000 0.5000

Results
The value obtained for the energy of formation is -487 meV/atom. The calculation puts the raw total energy at -9.438 eV per atom. The value obtained for the density is 14.5 g cm⁻³.

---

Record 4
Crystalline InCuF2 at its relaxed geometry. Source: the Alexandria database, functional PBE-GGA.

Cell: 7.1085 7.1085 7.1085 Å, 140.95 140.95 56.41°
Element x y z (fractional)
In 0.0000 0.0000 0.0000
In 0.7500 0.2500 0.5000
Cu 0.2500 0.7500 0.5000
Cu 0.5000 0.5000 0.0000
F 0.2220 0.6250 0.0970
F 0.3750 0.4720 0.5970
F 0.5280 0.1250 0.9030
F 0.8750 0.7780 0.4030

Results
The value obtained for the energy above the lowest structure with this stoichiometry is 0.0 kJ/mol of formula units. The calculation puts the raw total energy at -3.871 eV per atom. The value obtained for the density is 5.1 g cm⁻³. The formation energy from raw total energies comes out at -1.23 eV per atom.